The following is a DFT calculation (PBE) of an optimized crystal structure of CdTcPt2.

Cell: 4.8937 4.8937 5.0238 Å, 98.45 98.45 33.16°
Last column: nearest neighbours and their distance in Å.
Fractional positions:
Cd  0.0000  0.0000  0.0000  7 Pt 2.72-2.92, 2 Cd 2.79, 3 Tc 2.95-3.00
Tc  0.2429  0.2429  0.6914  7 Pt 2.69-3.01, 2 Tc 2.79, 3 Cd 2.95-3.00
Pt  0.5028  0.5028  0.5104  3 Tc 2.69-2.73, 5 Pt 2.79-2.94, 4 Cd 2.83-2.92
Pt  0.7538  0.7538  0.2246  3 Cd 2.72-2.84, 4 Tc 2.74-3.01, 5 Pt 2.79-2.94

Output
The calculated formation energy is -56 meV/atom.